# PBE HfTlF5, relaxed
data_HfTlF5
_cell_length_a 7.6174
_cell_length_b 7.9725
_cell_length_c 7.9716
_cell_angle_alpha 90.00
_cell_angle_beta 116.64
_cell_angle_gamma 90.00
_space_group_name_H-M_alt 'P 1 21/c 1'
_space_group_IT_number 14
_space_group_name_Hall '-P 2ybc'
loop_
_atom_site_label
_atom_site_fract_x
_atom_site_fract_y
_atom_site_fract_z
_atom_site_occupancy
Hf1 0.0061 0.1619 0.3387 1
Tl1 0.4291 0.5275 0.7054 1
F1 0.0048 0.0638 0.7908 1
F2 0.0069 0.2108 0.0634 1
F3 0.1731 0.5029 0.0722 1
F4 0.2794 0.7102 0.3366 1
F5 0.2907 0.2060 0.4068 1
# Uncorrected energy (eV per atom): -6.380
# DOS(E_F) (states/eV/atom): 0.000
# ΔE_f (raw) (eV/atom): -3.284
# Excess energy over the best structure of this formula in the dataset (meV/atom): 0